# TbY5Ho2Tm

A relaxed structure of TbY5Ho2Tm (PBE, Alexandria via LeMat-Bulk).

a = 5.5894 Å, b = 10.3857 Å, c = 10.5125 Å
α = 90.00°, β = 90.00°, γ = 105.61°
Atoms (fractional coordinates):
1 Y 0.6142 0.2284 0.5232
2 Y 0.7215 0.4430 0.8143
3 Y 0.4800 0.9600 0.7384
4 Y 0.5200 0.0400 0.2384
5 Y 0.0170 0.0340 0.0215
6 Y 0.3009 0.6018 0.7052
7 Y 0.2785 0.5570 0.3143
8 Y 0.6991 0.3982 0.2052
9 Y 0.3858 0.7716 0.0232
10 Y 0.9830 0.9660 0.5215
11 Ho 0.1105 0.2210 0.7374
12 Ho 0.8878 0.7756 0.8164
13 Ho 0.8895 0.7790 0.2374
14 Ho 0.1122 0.2244 0.3164
15 Tm 0.5883 0.1767 0.9545
16 Tm 0.4117 0.8233 0.4545
17 Tb 0.8035 0.6070 0.5131
18 Tb 0.1965 0.3930 0.0131

Energy of formation, eV/atom: 0.15
Space group: Cmc2_1 (36)
Uncorrected energy, eV per cell: -98.38